[1]
The following is a GGA-PBE calculation of a relaxed CaCd crystal, from Alexandria.

Cell lengths 5.0289, 5.0289, 5.0289 Å; angles 60.00, 60.00, 60.00 degrees
Closest atoms and distances in Å follow each position.
Fractional positions:
Ca 0.0000 0.0000 0.0000  4 Cd 3.08
Cd 0.7500 0.7500 0.7500  4 Ca 3.08

Properties
energy relative to the elements = 315 meV per atom
density = 2.82 g cm⁻³

---

[2]
The following is a GGA-PBE calculation of a relaxed Rb3Mo15Se17 crystal, from Alexandria.

Cell lengths 9.6856, 9.6856, 21.1511 Å; angles 90.00, 90.00, 120.00 degrees
Closest atoms and distances in Å follow each position.
Fractional positions:
Rb 0.0000 0.0000 0.1365  9 Se 3.60-3.89
Rb 0.0000 0.0000 0.3635  9 Se 3.60-3.89
Rb 0.0000 0.0000 0.6365  9 Se 3.60-3.89
Rb 0.0000 0.0000 0.8635  9 Se 3.60-3.89
Rb 0.3333 0.6667 0.2500  11 Se 3.61-3.99
Rb 0.6667 0.3333 0.7500  11 Se 3.61-3.99
Mo 0.1652 0.5179 0.7500  4 Se 2.64-2.71, 6 Mo 2.67-2.74
Mo 0.1647 0.5202 0.5347  5 Se 2.54-2.71, 4 Mo 2.66-2.79
Mo 0.1647 0.5202 0.9653  5 Se 2.54-2.71, 4 Mo 2.66-2.79
Mo 0.1828 0.6840 0.6434  4 Se 2.59-2.71, 6 Mo 2.68-2.79
Mo 0.1828 0.6840 0.8566  4 Se 2.59-2.71, 6 Mo 2.68-2.79
Mo 0.3160 0.4988 0.6434  4 Se 2.59-2.71, 6 Mo 2.68-2.79
Mo 0.3160 0.4988 0.8566  4 Se 2.59-2.71, 6 Mo 2.68-2.79
Mo 0.3526 0.8348 0.7500  4 Se 2.64-2.71, 6 Mo 2.67-2.74
Mo 0.3555 0.8353 0.5347  5 Se 2.54-2.71, 4 Mo 2.66-2.79
Mo 0.3555 0.8353 0.9653  5 Se 2.54-2.71, 4 Mo 2.66-2.79
Mo 0.4798 0.6445 0.5347  5 Se 2.54-2.71, 4 Mo 2.66-2.79
Mo 0.4798 0.6445 0.9653  5 Se 2.54-2.71, 4 Mo 2.66-2.79
Mo 0.4821 0.6474 0.7500  4 Se 2.64-2.71, 6 Mo 2.67-2.74
Mo 0.4988 0.1828 0.1434  4 Se 2.59-2.71, 6 Mo 2.68-2.79
Mo 0.4988 0.1828 0.3566  4 Se 2.59-2.71, 6 Mo 2.68-2.79
Mo 0.5012 0.8172 0.6434  4 Se 2.59-2.71, 6 Mo 2.68-2.79
Mo 0.5012 0.8172 0.8566  4 Se 2.59-2.71, 6 Mo 2.68-2.79
Mo 0.5179 0.3526 0.2500  4 Se 2.64-2.71, 6 Mo 2.67-2.74
Mo 0.5202 0.3555 0.0347  5 Se 2.54-2.71, 4 Mo 2.66-2.79
Mo 0.5202 0.3555 0.4653  5 Se 2.54-2.71, 4 Mo 2.66-2.79
Mo 0.6445 0.1647 0.0347  5 Se 2.54-2.71, 4 Mo 2.66-2.79
Mo 0.6445 0.1647 0.4653  5 Se 2.54-2.71, 4 Mo 2.66-2.79
Mo 0.6474 0.1652 0.2500  4 Se 2.64-2.71, 6 Mo 2.67-2.74
Mo 0.6840 0.5012 0.1434  4 Se 2.59-2.71, 6 Mo 2.68-2.79
Mo 0.6840 0.5012 0.3566  4 Se 2.59-2.71, 6 Mo 2.68-2.79
Mo 0.8172 0.3160 0.1434  4 Se 2.59-2.71, 6 Mo 2.68-2.79
Mo 0.8172 0.3160 0.3566  4 Se 2.59-2.71, 6 Mo 2.68-2.79
Mo 0.8353 0.4798 0.0347  5 Se 2.54-2.71, 4 Mo 2.66-2.79
Mo 0.8353 0.4798 0.4653  5 Se 2.54-2.71, 4 Mo 2.66-2.79
Mo 0.8348 0.4821 0.2500  4 Se 2.64-2.71, 6 Mo 2.67-2.74
Se 0.0057 0.3742 0.6422  4 Mo 2.61-2.71
Se 0.0057 0.3742 0.8578  4 Mo 2.61-2.71
Se 0.0394 0.7053 0.7500  4 Mo 2.64-2.71
Se 0.0433 0.7069 0.5429  4 Mo 2.59-2.68
Se 0.0433 0.7069 0.9571  4 Mo 2.59-2.68
Se 0.2931 0.3364 0.5429  4 Mo 2.59-2.68
Se 0.2931 0.3364 0.9571  4 Mo 2.59-2.68
Se 0.2947 0.3341 0.7500  4 Mo 2.64-2.71
Se 0.3333 0.6667 0.0612  3 Mo 2.54
Se 0.3333 0.6667 0.4388  3 Mo 2.54
Se 0.3341 0.0394 0.2500  4 Mo 2.64-2.71
Se 0.3364 0.0433 0.0429  4 Mo 2.59-2.68
Se 0.3364 0.0433 0.4571  4 Mo 2.59-2.68
Se 0.3685 0.9943 0.6422  4 Mo 2.61-2.71
Se 0.3685 0.9943 0.8578  4 Mo 2.61-2.71
Se 0.3742 0.3685 0.1422  4 Mo 2.61-2.71
Se 0.3742 0.3685 0.3578  4 Mo 2.61-2.71
Se 0.6258 0.6315 0.6422  4 Mo 2.61-2.71
Se 0.6258 0.6315 0.8578  4 Mo 2.61-2.71
Se 0.6315 0.0057 0.1422  4 Mo 2.61-2.71
Se 0.6315 0.0057 0.3578  4 Mo 2.61-2.71
Se 0.6636 0.9567 0.5429  4 Mo 2.59-2.68
Se 0.6636 0.9567 0.9571  4 Mo 2.59-2.68
Se 0.6659 0.9606 0.7500  4 Mo 2.64-2.71
Se 0.6667 0.3333 0.5612  3 Mo 2.54
Se 0.6667 0.3333 0.9388  3 Mo 2.54
Se 0.7053 0.6659 0.2500  4 Mo 2.64-2.71
Se 0.7069 0.6636 0.0429  4 Mo 2.59-2.68
Se 0.7069 0.6636 0.4571  4 Mo 2.59-2.68
Se 0.9567 0.2931 0.0429  4 Mo 2.59-2.68
Se 0.9567 0.2931 0.4571  4 Mo 2.59-2.68
Se 0.9606 0.2947 0.2500  4 Mo 2.64-2.71
Se 0.9943 0.6258 0.1422  4 Mo 2.61-2.71
Se 0.9943 0.6258 0.3578  4 Mo 2.61-2.71

Properties
energy relative to the elements, uncorrected = -64 kJ/mol of atoms
density = 5.87 g cm⁻³

---

[3]
The following is a GGA-PBE calculation of a relaxed TePSeBr2 crystal, from Alexandria.

Cell lengths 4.9618, 4.9618, 5.2877 Å; angles 90.00, 90.00, 90.00 degrees
Closest atoms and distances in Å follow each position.
Fractional positions:
Te 0.0000 0.0000 0.0000  4 Se 3.51, 8 Br 3.63
P 0.5000 0.5000 0.5000  4 Br 2.48, 2 Se 2.64
Se 0.5000 0.5000 0.0000  2 P 2.64
Br 0.0000 0.5000 0.5000  2 P 2.48
Br 0.5000 0.0000 0.5000  2 P 2.48

Properties
energy relative to the elements, uncorrected = 35 kJ/mol of atoms
density = 5.07 g cm⁻³

---

Among the records above, which one has the lowest density? CaCd

---

What is the formula in the third record? TePSeBr2

---

Which of these has the lowest density? CaCd

---

What is the density in the second record? 5.87 g cm⁻³